First-principles (PBE) data for crystalline VGaTe2N at its relaxed geometry, as listed in Alexandria via LeMat-Bulk.

Computed properties:
total DFT energy (no corrections)	-5.319	eV/atom
V	109.5	Å³ per cell
theoretical density	5.9	Mg/m³
E_form (uncorrected)	32	meV per atom
symmetry	No. 123

abc: 5.499 5.499 3.623
angles: 90.00 90.00 90.00
Atoms (fractional coordinates):
N (0.000, 0.000, 0.500)
V (0.000, 0.000, 0.000)
Ga (0.500, 0.500, 0.500)
Te (0.000, 0.500, 0.000)
Te (0.500, 0.000, 0.000)